1.
This record from OQMD describes a relaxed structure of PmZnNO. The functional is PBE-GGA.

As for the crystal system: orthorhombic. For the total energy, the calculation gives -6.31 eV per atom. The calculation puts the mass density at 6.6 g/cm³. Its energy above the most stable polymorph in this dataset is 0.000 eV per atom.

It has space group Pmc2_1 (No. 26), with a = 3.739 Å, b = 6.056 Å, c = 5.363 Å, α = 90.00°, β = 90.00° and γ = 90.00°. The asymmetric unit holds Pm at (0.000, 0.206, 0.000), Zn at (0.500, 0.299, 0.503), N at (0.000, 0.174, 0.448) and O at (0.500, 0.378, 0.882).


2.
This record from OQMD describes a relaxed structure of PmZrNO. The functional is PBE-GGA.

As for the crystal system: tetragonal. For the total energy, the calculation gives -8.55 eV per atom. The calculation puts the mass density at 5.9 g/cm³. Its energy above the most stable polymorph in this dataset is 0.143 eV per atom.

It has space group P4mm (No. 99), with a = 4.243 Å, b = 4.243 Å, c = 8.290 Å, α = 90.00°, β = 90.00° and γ = 90.00°. The asymmetric unit holds Pm at (0.000, 0.000, 0.000), Pm at (0.500, 0.500, 0.242), Zr at (0.000, 0.500, 0.622), N at (0.000, 0.000, 0.566), N at (0.500, 0.500, 0.678) and O at (0.000, 0.500, 0.121).


3.
This record from OQMD describes a relaxed structure of PmZrNO. The functional is PBE-GGA.

As for the crystal system: orthorhombic. For the total energy, the calculation gives -8.57 eV per atom. The calculation puts the mass density at 6.8 g/cm³. Its energy above the most stable polymorph in this dataset is 0.115 eV per atom.

It has space group Pmc2_1 (No. 26), with a = 4.191 Å, b = 6.200 Å, c = 4.971 Å, α = 90.00°, β = 90.00° and γ = 90.00°. The asymmetric unit holds Pm at (0.000, 0.184, 0.000), Zr at (0.500, 0.288, 0.509), N at (0.000, 0.218, 0.502) and O at (0.500, 0.370, 0.967).


4.
This record from OQMD describes a relaxed structure of PmZrNO. The functional is PBE-GGA.

As for the crystal system: tetragonal. For the total energy, the calculation gives -8.42 eV per atom. The calculation puts the mass density at 7.1 g/cm³. Its energy above the most stable polymorph in this dataset is 0.269 eV per atom.

It has space group P4/nmm (No. 129, origin choice 2), with a = 4.588 Å, b = 4.588 Å, c = 5.957 Å, α = 90.00°, β = 90.00° and γ = 90.00°. The asymmetric unit holds Pm at (0.250, 0.750, 0.000), Zr at (0.250, 0.250, 0.464), N at (0.250, 0.250, 0.128) and O at (0.250, 0.750, 0.500).


5.
This record from OQMD describes a relaxed structure of PmZrNO. The functional is PBE-GGA.

As for the crystal system: tetragonal. For the total energy, the calculation gives -8.55 eV per atom. The calculation puts the mass density at 5.8 g/cm³. Its energy above the most stable polymorph in this dataset is 0.140 eV per atom.

It has space group P4/nmm (No. 129, origin choice 2), with a = 4.228 Å, b = 4.228 Å, c = 8.461 Å, α = 90.00°, β = 90.00° and γ = 90.00°. The asymmetric unit holds Pm at (0.250, 0.250, 0.121), Zr at (0.250, 0.750, 0.500), N at (0.250, 0.250, 0.557) and O at (0.250, 0.750, 0.000).


6.
This record from OQMD describes a relaxed structure of PmZrNO. The functional is PBE-GGA.

As for the crystal system: tetragonal. For the total energy, the calculation gives -8.42 eV per atom. The calculation puts the mass density at 7.0 g/cm³. Its energy above the most stable polymorph in this dataset is 0.271 eV per atom.

It has space group P4/nmm (No. 129, origin choice 2), with a = 4.555 Å, b = 4.555 Å, c = 6.100 Å, α = 90.00°, β = 90.00° and γ = 90.00°. The asymmetric unit holds Pm at (0.250, 0.750, 0.000), Zr at (0.250, 0.250, 0.460), N at (0.250, 0.250, 0.132) and O at (0.250, 0.750, 0.500).